Record 1
A plane-wave DFT calculation with PBE was carried out for a relaxed structure of LaTa4Ir.

Summary:
E_form	387	meV per atom
total magnetic moment	0.000	μB per formula unit

Cell lengths 5.573, 5.573, 5.573 Å; angles 60.00, 60.00, 60.00 degrees
Atoms (fractional coordinates):
La: 0.000 0.000 0.000
Ta: 0.375 0.375 0.375
Ta: 0.876 0.375 0.375
Ta: 0.375 0.876 0.375
Ta: 0.375 0.375 0.876
Ir: 0.750 0.750 0.750

***

Record 2
A plane-wave DFT calculation with PBE was carried out for a relaxed structure of K3HfGa.

Summary:
E_form	1379	meV per atom
total magnetic moment	4.156	μB per formula unit

Cell lengths 6.734, 6.734, 6.734 Å; angles 90.00, 90.00, 90.00 degrees
Atoms (fractional coordinates):
K: 0.500 0.000 0.000
K: 0.000 0.500 0.000
K: 0.000 0.000 0.500
Ga: 0.500 0.500 0.500
Hf: 0.000 0.000 0.000

***

Record 3
A plane-wave DFT calculation with PBE was carried out for a relaxed structure of LiGa2Ru.

Summary:
E_form	-313	meV per atom
total magnetic moment	0.000	μB per formula unit

Cell lengths 3.062, 4.269, 4.269 Å; angles 90.00, 90.00, 90.00 degrees
Atoms (fractional coordinates):
Ga: 0.000 0.000 0.500
Ga: 0.000 0.500 0.000
Li: 0.500 0.500 0.500
Ru: 0.500 0.000 0.000

***

Record 4
A plane-wave DFT calculation with PBE was carried out for a relaxed structure of AcScCd.

Summary:
E_form	-56	meV per atom
total magnetic moment	0.002	μB per formula unit

Cell lengths 3.943, 5.223, 5.223 Å; angles 120.00, 90.00, 90.00 degrees
Atoms (fractional coordinates):
Cd: 0.167 0.333 0.667
Sc: 0.167 0.000 0.000
Ac: 0.667 0.667 0.333

***

Record 5
A plane-wave DFT calculation with PBE was carried out for a relaxed structure of KTb2NdSe4.

Summary:
formation energy from raw total energies	-1.745	eV/atom
total magnetic moment	0.000	μB per formula unit

Cell lengths 4.155, 7.408, 7.345 Å; angles 71.56, 90.00, 90.00 degrees
Atoms (fractional coordinates):
Se: 0.000 0.765 0.749
Se: 0.500 0.773 0.235
Se: 0.000 0.235 0.251
Se: 0.500 0.227 0.765
Nd: 0.500 0.500 0.000
K: 0.000 0.500 0.500
Tb: 0.000 0.000 0.000
Tb: 0.500 0.000 0.500

***

Record 6
A plane-wave DFT calculation with PBE was carried out for a relaxed structure of Ba6P2Br.

Summary:
formation energy from raw total energies	-0.872	eV/atom
total magnetic moment	0.808	μB per formula unit

Cell lengths 8.044, 8.044, 9.108 Å; angles 63.80, 63.80, 60.00 degrees
Atoms (fractional coordinates):
Ba: 0.678 0.080 0.865
Ba: 0.080 0.377 0.865
Ba: 0.231 0.879 0.357
Ba: 0.879 0.534 0.357
Ba: 0.377 0.678 0.865
Ba: 0.534 0.231 0.357
P: 0.469 0.469 0.592
P: 0.289 0.289 0.134
Br: 0.798 0.798 0.605